No. 1
# Rb3NdU2O9

A geometry-optimized Rb3NdU2O9 structure (PBE, Alexandria).

Properties
The raw total energy comes out at -7.832 eV per atom. The uncorrected formation energy comes out at -2.841 eV/atom.

Lattice parameters (Å, degrees): 6.236 6.236 7.637 90.00 90.00 120.00
Atoms (fractional coordinates):
O 0.178 0.822 0.316
O 0.822 0.178 0.684
O 0.178 0.357 0.316
O 0.357 0.178 0.684
O 0.500 0.000 0.000
O 0.000 0.500 0.000
O 0.500 0.500 0.000
O 0.643 0.822 0.316
O 0.822 0.643 0.684
U 0.667 0.333 0.838
U 0.333 0.667 0.162
Nd 0.000 0.000 0.500
Rb 0.333 0.667 0.663
Rb 0.667 0.333 0.337
Rb 0.000 0.000 0.000



No. 2
# Li3Cr

A geometry-optimized Li3Cr structure (PBE, Alexandria).

Properties
The raw total energy comes out at -3.469 eV per atom. The formation energy is 1.49 eV/f.u.

Lattice parameters (Å, degrees): 2.430 2.430 9.645 90.00 90.00 90.00
Each line ends with the local moment (μB).
Atoms (fractional coordinates):
Li 0.000 0.000 0.500  0.00
Li 0.500 0.500 0.234  0.00
Li 0.500 0.500 0.766  0.00
Cr 0.000 0.000 0.000  0.23



No. 3
# Ho3AgHg2

A geometry-optimized Ho3AgHg2 structure (PBE, Alexandria).

Properties
The raw total energy comes out at -3.299 eV per atom. The formation energy is -2.60 eV/f.u.

Lattice parameters (Å, degrees): 5.197 5.197 12.740 90.00 90.00 120.00
Atoms (fractional coordinates):
Hg 0.667 0.333 0.832
Hg 0.000 0.000 0.000
Hg 0.000 0.000 0.500
Hg 0.333 0.667 0.168
Ho 0.667 0.333 0.582
Ho 0.667 0.333 0.086
Ho 0.000 0.000 0.747
Ho 0.000 0.000 0.253
Ho 0.333 0.667 0.418
Ho 0.333 0.667 0.914
Ag 0.667 0.333 0.335
Ag 0.333 0.667 0.665



No. 4
# K3LaOs

A geometry-optimized K3LaOs structure (PBE, Alexandria).

Properties
The raw total energy comes out at -2.150 eV per atom. The formation energy is 8.70 eV/f.u.

Lattice parameters (Å, degrees): 5.639 5.639 5.639 90.00 90.00 90.00
Atoms (fractional coordinates):
La 0.500 0.500 0.500
K 0.000 0.500 0.000
K 0.500 0.000 0.000
K 0.000 0.000 0.500
Os 0.000 0.000 0.000



No. 5
# EuAg4Pb

A geometry-optimized EuAg4Pb structure (PBE, Alexandria).

Properties
The raw total energy comes out at -4.454 eV per atom. The formation energy is -1.34 eV/f.u.

Lattice parameters (Å, degrees): 5.742 5.742 5.742 60.00 60.00 60.00
Each line ends with the local moment (μB).
Atoms (fractional coordinates):
Pb 0.250 0.250 0.250  -0.01
Ag 0.625 0.625 0.124  0.00
Ag 0.124 0.625 0.625  0.00
Ag 0.625 0.625 0.625  0.00
Ag 0.625 0.124 0.625  0.00
Eu 0.000 0.000 0.000  6.83



No. 6
# TaVGa3

A geometry-optimized TaVGa3 structure (PBE, Alexandria).

Properties
The raw total energy comes out at -6.038 eV per atom. The formation energy is -0.14 eV/f.u.

Lattice parameters (Å, degrees): 7.017 6.716 6.716 89.42 90.00 90.00
Atoms (fractional coordinates):
Ga 0.300 0.583 0.917
Ga 0.904 0.980 0.165
Ga 0.404 0.520 0.335
Ga 0.096 0.665 0.480
Ga 0.904 0.335 0.520
Ga 0.096 0.020 0.835
Ga 0.800 0.917 0.583
Ga 0.700 0.417 0.083
Ga 0.596 0.480 0.665
Ga 0.596 0.835 0.020
Ga 0.200 0.083 0.417
Ga 0.404 0.165 0.980
Ta 0.419 0.855 0.645
Ta 0.081 0.355 0.145
Ta 0.919 0.645 0.855
Ta 0.581 0.145 0.355
V 0.750 0.666 0.334
V 0.250 0.834 0.166
V 0.250 0.334 0.666
V 0.750 0.166 0.834



Q: Which value of raw total energy does entry 4 give?
A: -2.150 eV per atom



Q: Look up the raw total energy of the fourth one.
A: -2.150 eV per atom